{"formula": "ScBi2PdO6", "functional": "PBE", "state": "relaxed", "lattice_angstrom": [[5.625, 0.000, 0.000], [-0.023, 5.805, 0.000], [-2.731, -2.834, 4.286]], "species": ["Sc", "Bi", "Bi", "Pd", "O", "O", "O", "O", "O", "O"], "frac_coords": [[0.000, 0.000, 0.000], [0.275, 0.837, 0.556], [0.788, 0.347, 0.566], [0.494, 0.478, 0.982], [0.139, 0.175, 0.461], [0.198, 0.678, 0.026], [0.335, 0.192, 0.030], [0.645, 0.696, 0.858], [0.725, 0.213, 0.876], [0.855, 0.704, 0.510]], "e_form_raw_mev_per_atom": -1502, "e_tot_ev_per_atom": -6.406, "space_group": "P1 (1)", "magnetic_moment_mub_per_cell": 1.01}

---

{"formula": "ScBiPdO6", "functional": "PBE", "state": "relaxed", "lattice_angstrom": [[4.830, 0.000, 0.000], [0.000, 4.830, 0.000], [0.000, 0.000, 9.782]], "species": ["Sc", "Sc", "Bi", "Bi", "Pd", "Pd", "O", "O", "O", "O", "O", "O", "O", "O", "O", "O", "O", "O"], "frac_coords": [[0.000, 0.000, 0.000], [0.500, 0.500, 0.500], [0.000, 0.000, 0.667], [0.500, 0.500, 0.167], [0.000, 0.000, 0.333], [0.500, 0.500, 0.833], [0.185, 0.185, 0.170], [0.190, 0.190, 0.491], [0.202, 0.202, 0.837], [0.298, 0.702, 0.337], [0.310, 0.690, 0.991], [0.315, 0.685, 0.670], [0.685, 0.315, 0.670], [0.690, 0.310, 0.991], [0.702, 0.298, 0.337], [0.798, 0.798, 0.837], [0.810, 0.810, 0.491], [0.815, 0.815, 0.170]], "e_form_raw_mev_per_atom": -1367, "e_tot_ev_per_atom": -6.384, "space_group": "P4_2nm (102)", "magnetic_moment_mub_per_cell": 0.00}

---

{"formula": "ScBiPd2O", "functional": "PBE", "state": "relaxed", "lattice_angstrom": [[5.164, 0.000, 0.000], [0.000, 5.164, 0.000], [0.000, 0.000, 3.815]], "species": ["Sc", "Bi", "Pd", "Pd", "O"], "frac_coords": [[0.000, 0.000, 0.000], [0.500, 0.500, 0.500], [0.000, 0.500, 0.000], [0.500, 0.000, 0.000], [0.000, 0.000, 0.500]], "e_form_raw_mev_per_atom": -638, "e_tot_ev_per_atom": -5.749, "space_group": "P4/mmm (123)", "magnetic_moment_mub_per_cell": 0.00}

---

{"formula": "Bi2PdSe4O12", "functional": "PBE", "state": "relaxed", "lattice_angstrom": [[11.109, 0.000, 0.000], [0.000, 7.421, 0.000], [-2.719, 0.000, 7.674]], "species": ["Bi", "Bi", "Bi", "Bi", "Pd", "Pd", "Se", "Se", "Se", "Se", "Se", "Se", "Se", "Se", "O", "O", "O", "O", "O", "O", "O", "O", "O", "O", "O", "O", "O", "O", "O", "O", "O", "O", "O", "O", "O", "O", "O", "O"], "frac_coords": [[0.096, 0.118, 0.243], [0.096, 0.382, 0.743], [0.904, 0.618, 0.257], [0.904, 0.882, 0.757], [0.500, 0.000, 0.500], [0.500, 0.500, 0.000], [0.180, 0.675, 0.137], [0.180, 0.825, 0.637], [0.365, 0.177, 0.112], [0.365, 0.323, 0.612], [0.635, 0.677, 0.388], [0.635, 0.823, 0.888], [0.820, 0.175, 0.363], [0.820, 0.325, 0.863], [0.070, 0.643, 0.576], [0.070, 0.857, 0.076], [0.087, 0.518, 0.195], [0.087, 0.982, 0.695], [0.176, 0.618, 0.930], [0.176, 0.882, 0.430], [0.204, 0.221, 0.021], [0.204, 0.279, 0.521], [0.346, 0.101, 0.308], [0.346, 0.399, 0.808], [0.435, 0.114, 0.682], [0.435, 0.386, 0.182], [0.565, 0.614, 0.818], [0.565, 0.886, 0.318], [0.654, 0.601, 0.192], [0.654, 0.899, 0.692], [0.796, 0.721, 0.479], [0.796, 0.779, 0.979], [0.824, 0.118, 0.570], [0.824, 0.382, 0.070], [0.913, 0.018, 0.305], [0.913, 0.482, 0.805], [0.930, 0.143, 0.924], [0.930, 0.357, 0.424]], "e_form_raw_mev_per_atom": -897, "e_tot_ev_per_atom": -5.444, "space_group": "P2_1/c (14)", "magnetic_moment_mub_per_cell": 0.03}

---

{"formula": "Sm2BiPdO5", "functional": "PBE", "state": "relaxed", "lattice_angstrom": [[6.734, 0.000, 0.000], [0.000, 6.734, 0.000], [0.000, 0.000, 5.824]], "species": ["Sm", "Sm", "Sm", "Sm", "Bi", "Bi", "Pd", "Pd", "O", "O", "O", "O", "O", "O", "O", "O", "O", "O"], "frac_coords": [[0.172, 0.328, 0.000], [0.328, 0.828, 0.000], [0.672, 0.172, 0.000], [0.828, 0.672, 0.000], [0.000, 0.000, 0.500], [0.500, 0.500, 0.500], [0.000, 0.500, 0.500], [0.500, 0.000, 0.500], [0.000, 0.000, 0.000], [0.141, 0.641, 0.243], [0.141, 0.641, 0.757], [0.359, 0.141, 0.243], [0.359, 0.141, 0.757], [0.500, 0.500, 0.000], [0.641, 0.859, 0.243], [0.641, 0.859, 0.757], [0.859, 0.359, 0.243], [0.859, 0.359, 0.757]], "e_form_raw_mev_per_atom": -1963, "e_tot_ev_per_atom": -6.775, "space_group": "P4/mbm (127)", "magnetic_moment_mub_per_cell": 0.00}

---

{"formula": "SnBiPdO6", "functional": "PBE", "state": "relaxed", "lattice_angstrom": [[5.360, 0.000, 0.000], [-2.680, 4.642, 0.000], [0.000, 0.000, 9.579]], "species": ["Sn", "Sn", "Bi", "Bi", "Pd", "Pd", "O", "O", "O", "O", "O", "O", "O", "O", "O", "O", "O", "O"], "frac_coords": [[0.333, 0.667, 0.250], [0.667, 0.333, 0.750], [0.000, 0.000, 0.000], [0.000, 0.000, 0.500], [0.333, 0.667, 0.750], [0.667, 0.333, 0.250], [0.010, 0.365, 0.632], [0.010, 0.645, 0.868], [0.355, 0.365, 0.868], [0.355, 0.990, 0.632], [0.365, 0.010, 0.132], [0.365, 0.355, 0.368], [0.635, 0.645, 0.632], [0.635, 0.990, 0.868], [0.645, 0.010, 0.368], [0.645, 0.635, 0.132], [0.990, 0.355, 0.132], [0.990, 0.635, 0.368]], "e_form_raw_mev_per_atom": -945, "e_tot_ev_per_atom": -5.703, "space_group": "P-31c (163)", "magnetic_moment_mub_per_cell": 0.00}

---

{"formula": "SrBiPdO4", "functional": "PBE", "state": "relaxed", "lattice_angstrom": [[-3.254, 3.516, 5.239], [3.254, -3.516, 5.239], [3.254, 3.516, -5.239]], "species": ["Sr", "Sr", "Bi", "Bi", "Pd", "Pd", "O", "O", "O", "O", "O", "O", "O", "O"], "frac_coords": [[0.435, 0.185, 0.250], [0.565, 0.815, 0.750], [0.000, 0.500, 0.500], [0.500, 0.500, 0.000], [0.000, 0.000, 0.500], [0.000, 0.500, 0.000], [0.147, 0.717, 0.429], [0.212, 0.283, 0.929], [0.304, 0.347, 0.543], [0.304, 0.760, 0.957], [0.696, 0.240, 0.043], [0.696, 0.653, 0.457], [0.788, 0.717, 0.071], [0.853, 0.283, 0.571]], "e_form_raw_mev_per_atom": -1299, "e_tot_ev_per_atom": -5.669, "space_group": "Imma (74)", "magnetic_moment_mub_per_cell": 0.00}

---

{"formula": "Sr2BiPdO6", "functional": "PBE", "state": "relaxed", "lattice_angstrom": [[5.838, 0.000, 0.000], [0.000, 5.934, 0.000], [-5.767, 0.000, 8.279]], "species": ["Sr", "Sr", "Sr", "Sr", "Bi", "Bi", "Pd", "Pd", "O", "O", "O", "O", "O", "O", "O", "O", "O", "O", "O", "O"], "frac_coords": [[0.238, 0.046, 0.249], [0.238, 0.454, 0.749], [0.762, 0.546, 0.251], [0.762, 0.954, 0.751], [0.500, 0.000, 0.000], [0.500, 0.500, 0.500], [0.000, 0.000, 0.500], [0.000, 0.500, 0.000], [0.152, 0.215, 0.955], [0.152, 0.285, 0.455], [0.241, 0.701, 0.956], [0.241, 0.799, 0.456], [0.327, 0.028, 0.741], [0.327, 0.472, 0.241], [0.673, 0.528, 0.759], [0.673, 0.972, 0.259], [0.759, 0.201, 0.544], [0.759, 0.299, 0.044], [0.848, 0.715, 0.545], [0.848, 0.785, 0.045]], "e_form_raw_mev_per_atom": -1610, "e_tot_ev_per_atom": -5.829, "space_group": "P2_1/c (14)", "magnetic_moment_mub_per_cell": 0.00}

---

{"formula": "TaBiPdO6", "functional": "PBE", "state": "relaxed", "lattice_angstrom": [[4.911, 0.000, 0.000], [0.000, 4.911, 0.000], [0.000, 0.000, 9.859]], "species": ["Ta", "Ta", "Bi", "Bi", "Pd", "Pd", "O", "O", "O", "O", "O", "O", "O", "O", "O", "O", "O", "O"], "frac_coords": [[0.000, 0.000, 0.000], [0.500, 0.500, 0.500], [0.000, 0.000, 0.332], [0.500, 0.500, 0.832], [0.000, 0.000, 0.660], [0.500, 0.500, 0.160], [0.171, 0.171, 0.830], [0.207, 0.207, 0.137], [0.208, 0.208, 0.508], [0.292, 0.708, 0.008], [0.293, 0.707, 0.637], [0.329, 0.671, 0.330], [0.671, 0.329, 0.330], [0.707, 0.293, 0.637], [0.708, 0.292, 0.008], [0.792, 0.792, 0.508], [0.793, 0.793, 0.137], [0.829, 0.829, 0.830]], "e_form_raw_mev_per_atom": -1484, "e_tot_ev_per_atom": -7.115, "space_group": "P4_2nm (102)", "magnetic_moment_mub_per_cell": 0.00}

---

{"formula": "TbBi2PdO6", "functional": "PBE", "state": "relaxed", "lattice_angstrom": [[5.712, 0.000, 0.000], [-0.011, 5.997, 0.000], [-2.798, -2.926, 4.462]], "species": ["Tb", "Bi", "Bi", "Pd", "O", "O", "O", "O", "O", "O"], "frac_coords": [[0.000, 0.000, 0.000], [0.270, 0.835, 0.556], [0.794, 0.353, 0.572], [0.487, 0.460, 0.959], [0.132, 0.165, 0.473], [0.192, 0.652, 0.009], [0.351, 0.177, 0.011], [0.623, 0.680, 0.835], [0.717, 0.215, 0.851], [0.866, 0.688, 0.498]], "e_form_raw_mev_per_atom": -1486, "e_tot_ev_per_atom": -6.220, "space_group": "P1 (1)", "magnetic_moment_mub_per_cell": 1.01}

---

{"formula": "BiTe2PdO6", "functional": "PBE", "state": "relaxed", "lattice_angstrom": [[4.557, -6.406, 0.000], [4.557, 6.406, 0.000], [-4.147, 0.000, 5.666]], "species": ["Bi", "Bi", "Te", "Te", "Te", "Te", "Pd", "Pd", "O", "O", "O", "O", "O", "O", "O", "O", "O", "O", "O", "O"], "frac_coords": [[0.074, 0.926, 0.750], [0.926, 0.074, 0.250], [0.269, 0.495, 0.866], [0.495, 0.269, 0.366], [0.505, 0.731, 0.634], [0.731, 0.505, 0.134], [0.241, 0.759, 0.250], [0.759, 0.241, 0.750], [0.059, 0.187, 0.682], [0.086, 0.605, 0.872], [0.187, 0.059, 0.182], [0.224, 0.448, 0.559], [0.395, 0.914, 0.628], [0.448, 0.224, 0.059], [0.552, 0.776, 0.941], [0.605, 0.086, 0.372], [0.776, 0.552, 0.441], [0.813, 0.941, 0.818], [0.914, 0.395, 0.128], [0.941, 0.813, 0.318]], "e_form_raw_mev_per_atom": -812, "e_tot_ev_per_atom": -5.323, "space_group": "C2/c (15)", "magnetic_moment_mub_per_cell": 2.04}

---

{"formula": "BiTePdO2", "functional": "PBE", "state": "relaxed", "lattice_angstrom": [[4.279, 0.000, 0.000], [0.000, 4.279, 0.000], [0.000, 0.000, 5.130]], "species": ["Bi", "Te", "Pd", "O", "O"], "frac_coords": [[0.000, 0.000, 0.000], [0.500, 0.500, 0.000], [0.500, 0.500, 0.500], [0.000, 0.500, 0.500], [0.500, 0.000, 0.500]], "e_form_raw_mev_per_atom": 103, "e_tot_ev_per_atom": -4.324, "space_group": "P4/mmm (123)", "magnetic_moment_mub_per_cell": 0.00}